No. 1
Entry from Alexandria via LeMat-Bulk: a PBEsol-optimized structure of Y2ZnSb (meta-GGA SCAN).

Lattice parameters (Å, degrees): 4.124 4.291 5.937 111.18 90.00 90.00
Atoms (fractional coordinates):
Y  0.500  0.987  0.974
Y  0.000  0.272  0.545
Zn  0.000  0.536  0.073
Sb  0.500  0.704  0.409

Output
- Total moment: 0.0 μB/f.u.
- D(E_F): 0.6925 states/eV/atom
- Uncorrected formation energy: -3.42 eV/f.u.
- E: -109.89 eV per cell

No. 2
Entry from Alexandria via LeMat-Bulk: a PBEsol-optimized structure of YZrSb2 (meta-GGA SCAN).

Lattice parameters (Å, degrees): 3.786 5.010 5.010 90.00 90.00 90.00
Atoms (fractional coordinates):
Sb  0.000  0.000  0.500
Sb  0.000  0.500  0.000
Zr  0.500  0.000  0.000
Y  0.500  0.500  0.500

Output
- Total moment: 0.0 μB/f.u.
- D(E_F): 1.1207 states/eV/atom
- Uncorrected formation energy: -2.62 eV/f.u.
- E: -135.68 eV per cell

No. 3
Entry from Alexandria via LeMat-Bulk: a PBEsol-optimized structure of YZrSb2 (meta-GGA SCAN).

Lattice parameters (Å, degrees): 3.843 4.806 5.696 90.00 109.72 90.00
Each line ends with the local moment (μB).
Atoms (fractional coordinates):
Y  0.500  0.000  0.000  0.09
Sb  0.024  0.500  0.048  -0.03
Sb  0.228  0.000  0.456  -0.02
Zr  0.748  0.500  0.496  0.32

Output
- Total moment: 0.6 μB/f.u.
- D(E_F): 0.5139 states/eV/atom
- Uncorrected formation energy: -3.15 eV/f.u.
- E: -136.21 eV per cell

No. 4
Entry from Alexandria via LeMat-Bulk: a PBEsol-optimized structure of YZrSb2 (meta-GGA SCAN).

Lattice parameters (Å, degrees): 4.172 4.172 7.331 73.47 73.47 60.00
Atoms (fractional coordinates):
Y  0.000  0.000  0.000
Sb  0.754  0.754  0.737
Sb  0.246  0.246  0.263
Zr  0.500  0.500  0.500

Output
- Total moment: 0.0 μB/f.u.
- D(E_F): 0.4878 states/eV/atom
- Uncorrected formation energy: -3.86 eV/f.u.
- E: -136.93 eV per cell

No. 5
Entry from Alexandria via LeMat-Bulk: a PBEsol-optimized structure of YZr4Sb (meta-GGA SCAN).

Lattice parameters (Å, degrees): 5.835 5.835 5.835 60.00 60.00 60.00
Atoms (fractional coordinates):
Zr  0.372  0.884  0.372
Zr  0.884  0.372  0.372
Zr  0.372  0.372  0.884
Zr  0.372  0.372  0.372
Sb  0.750  0.750  0.750
Y  0.000  0.000  0.000

Output
- Total moment: 0.0 μB/f.u.
- D(E_F): 1.5371 states/eV/atom
- Uncorrected formation energy: 0.78 eV/f.u.
- E: -187.12 eV per cell

No. 6
Entry from Alexandria via LeMat-Bulk: a PBEsol-optimized structure of Zn3Sb (meta-GGA SCAN).

Lattice parameters (Å, degrees): 3.942 4.550 5.009 117.01 113.17 90.00
Atoms (fractional coordinates):
Zn  0.500  0.500  0.000
Zn  0.238  0.738  0.476
Zn  0.762  0.262  0.524
Sb  0.000  0.000  0.000

Output
- Total moment: 0.0 μB/f.u.
- D(E_F): 0.3917 states/eV/atom
- Uncorrected formation energy: 0.93 eV/f.u.
- E: -76.88 eV per cell

No. 7
Entry from Alexandria via LeMat-Bulk: a PBEsol-optimized structure of Zn2Sb (meta-GGA SCAN).

Lattice parameters (Å, degrees): 4.038 4.106 4.106 120.00 90.00 90.00
Atoms (fractional coordinates):
Zn  0.373  0.333  0.667
Zn  0.627  0.667  0.333
Sb  0.000  0.000  0.000

Output
- Total moment: 0.0 μB/f.u.
- D(E_F): 0.4179 states/eV/atom
- Uncorrected formation energy: 0.51 eV/f.u.
- E: -63.78 eV per cell

No. 8
Entry from Alexandria via LeMat-Bulk: a PBEsol-optimized structure of Zn2Sb (meta-GGA SCAN).

Lattice parameters (Å, degrees): 3.098 3.098 6.345 104.13 104.13 90.00
Atoms (fractional coordinates):
Zn  0.313  0.313  0.625
Zn  0.687  0.687  0.375
Sb  0.000  0.000  0.000

Output
- Total moment: 0.0 μB/f.u.
- D(E_F): 0.3908 states/eV/atom
- Uncorrected formation energy: 0.76 eV/f.u.
- E: -63.53 eV per cell